one:
DFT (PBE) results for a relaxed SiPbBr2 crystal.

a = 3.5968 Å, b = 6.3154 Å, c = 9.6386 Å
α = 90.00°, β = 90.00°, γ = 90.00°
Space group Cmmm (No. 65)
Inequivalent atoms, fractional coordinates:
Si 0.0000 0.0000 0.0000 (multiplicity 2)
Pb 0.0000 0.0000 0.5000 (multiplicity 2)
Br 0.0000 0.5000 0.2165 (multiplicity 4)

Values from the calculation:
Size of the total moment ... 0.0 μB per cell
N(E_F) ... 1.350 states/eV/f.u.



two:
DFT (PBE) results for a relaxed SiPbBr2 crystal.

a = 3.6324 Å, b = 3.6324 Å, c = 29.9165 Å
α = 90.00°, β = 90.00°, γ = 120.00°
Space group R3m (No. 160, hexagonal axes)
Inequivalent atoms, fractional coordinates:
Si 0.0000 0.0000 0.0000 (multiplicity 3)
Pb 0.0000 0.0000 0.7533 (multiplicity 3)
Br 0.0000 0.0000 0.2731 (multiplicity 3)
Br 0.0000 0.0000 0.4934 (multiplicity 3)

Values from the calculation:
Size of the total moment ... 0.0 μB per cell
N(E_F) ... 3.084 states/eV/f.u.



Quick one: least stable of them? two



one:
DFT (PBE) results for a relaxed SiPbBr2 crystal.

a = 3.7244 Å, b = 3.7244 Å, c = 33.8254 Å
α = 90.00°, β = 90.00°, γ = 120.00°
Space group R-3m (No. 166, hexagonal axes)
Inequivalent atoms, fractional coordinates:
Si 0.0000 0.0000 0.0000 (multiplicity 3)
Pb 0.0000 0.0000 0.5000 (multiplicity 3)
Br 0.0000 0.0000 0.3837 (multiplicity 6)

Values from the calculation:
Size of the total moment ... 0.0 μB per cell
N(E_F) ... 1.007 states/eV/f.u.



two:
DFT (PBE) results for a relaxed SiPbBr2 crystal.

a = 3.8559 Å, b = 5.0462 Å, c = 13.7444 Å
α = 90.00°, β = 90.00°, γ = 90.00°
Space group Immm (No. 71)
Inequivalent atoms, fractional coordinates:
Si 0.0000 0.0000 0.0000 (multiplicity 2)
Pb 0.0000 0.0000 0.5000 (multiplicity 2)
Br 0.0000 0.5000 0.3519 (multiplicity 4)

Values from the calculation:
Size of the total moment ... 0.0 μB per cell
N(E_F) ... 0.672 states/eV/f.u.



Quick one: least stable of them? one



one:
DFT (PBE) results for a relaxed SiPbBr2 crystal.

a = 3.4596 Å, b = 3.4596 Å, c = 8.8093 Å
α = 90.00°, β = 90.00°, γ = 90.00°
Space group P4/mmm (No. 123)
Inequivalent atoms, fractional coordinates:
Si 0.0000 0.0000 0.0000 (multiplicity 1)
Pb 0.0000 0.0000 0.5000 (multiplicity 1)
Br 0.5000 0.5000 0.1964 (multiplicity 2)

Values from the calculation:
Size of the total moment ... 0.0 μB per cell
N(E_F) ... 1.977 states/eV/f.u.



two:
DFT (PBE) results for a relaxed SiPbBr2 crystal.

a = 3.5871 Å, b = 6.3443 Å, c = 10.2612 Å
α = 90.00°, β = 90.00°, γ = 90.00°
Space group Cmm2 (No. 35)
Inequivalent atoms, fractional coordinates:
Si 0.0000 0.0000 0.0000 (multiplicity 2)
Pb 0.0000 0.5000 0.2763 (multiplicity 2)
Br 0.0000 0.0000 0.4972 (multiplicity 2)
Br 0.0000 0.5000 0.8209 (multiplicity 2)

Values from the calculation:
Size of the total moment ... 0.0 μB per cell
N(E_F) ... 1.914 states/eV/f.u.



Quick one: least stable of them? one